# ThAl2Cd | Alexandria | PBE-GGA | relaxed
data_ThAl2Cd
_chemical_formula_sum 'Th3 Al6 Cd3'
_cell_length_a 4.5098
_cell_length_b 4.5098
_cell_length_c 15.7715
_cell_angle_alpha 90.00
_cell_angle_beta 90.00
_cell_angle_gamma 120.00
_space_group_name_H-M_alt 'R -3 m'
_space_group_IT_number 166
_space_group_name_Hall '-R 3 2"'
loop_
_atom_site_label
_atom_site_fract_x
_atom_site_fract_y
_atom_site_fract_z
Th1 0.0000 0.0000 0.0000
Al1 0.0000 0.0000 0.2173
Cd1 0.0000 0.0000 0.5000
# - energy relative to the lowest polymorph listed for this composition (eV/atom) = 0.066
# - formation enthalpy at 0 K (meV per atom) = -153.0
# - density (kg/m3) = 7145



# Th2AlCd | Alexandria | PBE-GGA | relaxed
data_Th2AlCd
_chemical_formula_sum 'Th2 Al1 Cd1'
_cell_length_a 3.401
_cell_length_b 3.401
_cell_length_c 9.169
_cell_angle_alpha 90.00
_cell_angle_beta 90.00
_cell_angle_gamma 90.00
_space_group_name_H-M_alt 'P 4/m m m'
_space_group_IT_number 123
_space_group_name_Hall '-P 4 2'
loop_
_atom_site_label
_atom_site_fract_x
_atom_site_fract_y
_atom_site_fract_z
Th1 0.000 0.000 0.234
Al1 0.500 0.500 0.000
Cd1 0.500 0.500 0.500
# - formation enthalpy at 0 K (meV per atom) = -189.6
# - density (kg/m3) = 9450



# ThAlCd2 | Alexandria | PBE-GGA | relaxed
data_ThAlCd2
_chemical_formula_sum 'Th3 Al3 Cd6'
_cell_length_a 4.6138
_cell_length_b 4.6138
_cell_length_c 15.9771
_cell_angle_alpha 90.00
_cell_angle_beta 90.00
_cell_angle_gamma 120.00
_space_group_name_H-M_alt 'R -3 m'
_space_group_IT_number 166
_space_group_name_Hall '-R 3 2"'
loop_
_atom_site_label
_atom_site_fract_x
_atom_site_fract_y
_atom_site_fract_z
Th1 0.0000 0.0000 0.0000
Al1 0.0000 0.0000 0.5000
Cd1 0.0000 0.0000 0.2212
# - formation enthalpy at 0 K (meV per atom) = -48.8
# - density (kg/m3) = 8183



# Th4AlCd | Alexandria | PBE-GGA | relaxed
data_Th4AlCd
_chemical_formula_sum 'Th8 Al2 Cd2'
_cell_length_a 7.816
_cell_length_b 7.816
_cell_length_c 5.687
_cell_angle_alpha 90.00
_cell_angle_beta 90.00
_cell_angle_gamma 90.00
_space_group_name_H-M_alt 'P 4/m c c'
_space_group_IT_number 124
_space_group_name_Hall '-P 4 2c'
loop_
_atom_site_label
_atom_site_fract_x
_atom_site_fract_y
_atom_site_fract_z
Th1 0.150 0.337 0.000
Al1 0.000 0.000 0.250
Cd1 0.500 0.500 0.250
# - formation enthalpy at 0 K (meV per atom) = -140.9
# - density (kg/m3) = 10207



# ThAl2Cd | Alexandria | PBE-GGA | relaxed
data_ThAl2Cd
_chemical_formula_sum 'Th1 Al2 Cd1'
_cell_length_a 4.597
_cell_length_b 4.597
_cell_length_c 4.383
_cell_angle_alpha 90.00
_cell_angle_beta 90.00
_cell_angle_gamma 90.00
_space_group_name_H-M_alt 'P 4/m m m'
_space_group_IT_number 123
_space_group_name_Hall '-P 4 2'
loop_
_atom_site_label
_atom_site_fract_x
_atom_site_fract_y
_atom_site_fract_z
Th1 0.000 0.000 0.000
Al1 0.000 0.500 0.500
Cd1 0.500 0.500 0.000
# - energy relative to the lowest polymorph listed for this composition (eV/atom) = 0.000
# - formation enthalpy at 0 K (meV per atom) = -219.4
# - density (kg/m3) = 7142



# Th4Al2Cd | Alexandria | PBE-GGA | relaxed
data_Th4Al2Cd
_chemical_formula_sum 'Th12 Al6 Cd3'
_cell_length_a 5.0086
_cell_length_b 5.0086
_cell_length_c 29.2350
_cell_angle_alpha 90.00
_cell_angle_beta 90.00
_cell_angle_gamma 120.00
_space_group_name_H-M_alt 'R -3 m'
_space_group_IT_number 166
_space_group_name_Hall '-R 3 2"'
loop_
_atom_site_label
_atom_site_fract_x
_atom_site_fract_y
_atom_site_fract_z
Th1 0.0000 0.0000 0.1166
Th2 0.0000 0.0000 0.2973
Al1 0.0000 0.0000 0.4057
Cd1 0.0000 0.0000 0.5000
# - formation enthalpy at 0 K (meV per atom) = 105.0
# - density (kg/m3) = 8585